VASP calculation (PBE with a Hubbard U) on a relaxed Ni2TePtO6 crystal.

```
Ni2TePtO6
1.0
-0.545 1.839 3.392
-5.843 -1.333 -0.216
1.059 -5.116 2.944
Ni Pt O Te
2 1 6 1
Direct
0.750 0.500 0.000 Ni
0.750 0.000 0.500 Ni
0.741 0.500 0.500 Pt
0.241 0.500 0.500 O
0.745 0.763 0.763 O
0.745 0.763 0.237 O
0.745 0.237 0.237 O
0.745 0.237 0.763 O
0.243 0.000 0.000 O
0.742 0.000 0.000 Te
```

**Theoretical density**: 6.353 g/cm3
**Total magnetization**: 3.64 μB per cell
**Crystal system**: tetragonal
**E**: -4.75 eV per atom